Entry 1:
Here is an optimized crystal structure of LiPmMnGe2 from the Alexandria database. Energies are from GGA-PBE.

a b c (Å): 4.138 4.138 6.172
angles (deg): 109.59 109.59 90.00
Atoms (fractional coordinates):
Li 0.250 0.750 0.500
Pm 0.000 0.000 0.000
Mn 0.750 0.250 0.500
Ge 0.617 0.617 0.235
Ge 0.383 0.383 0.765

The value obtained for the calculated total energy is -5.526 eV per atom. The energy of formation is -0.512 eV/atom. The value obtained for the total magnetization is 3.37 μB per cell. For the density, the calculation gives 6.284 g cm⁻³. Its symmetry is No. 119.

=====

Entry 2:
Here is an optimized crystal structure of Pm7NdY3 from the Alexandria database. Energies are from GGA-PBE.

a b c (Å): 8.741 7.213 7.213
angles (deg): 120.00 90.00 90.00
Atoms (fractional coordinates):
Pm 0.112 0.167 0.833
Pm 0.112 0.167 0.335
Pm 0.124 0.667 0.333
Pm 0.454 0.832 0.168
Pm 0.454 0.335 0.168
Pm 0.454 0.832 0.665
Pm 0.112 0.665 0.833
Nd 0.442 0.333 0.667
Y 0.784 0.500 0.500
Y 0.784 0.500 0.000
Y 0.784 0.000 0.500

The value obtained for the calculated total energy is -5.034 eV per atom. The energy of formation is 0.185 eV/atom. The value obtained for the total magnetization is 0.00 μB per cell. For the density, the calculation gives 6.012 g cm⁻³. Its symmetry is No. 156.

=====

Entry 3:
Here is an optimized crystal structure of CuRe2F from the Alexandria database. Energies are from GGA-PBE.

a b c (Å): 6.892 6.892 5.402
angles (deg): 50.36 50.36 90.00
Atoms (fractional coordinates):
Re 0.557 0.125 0.250
Re 0.193 0.625 0.250
Re 0.375 0.443 0.750
Re 0.875 0.807 0.750
Cu 0.000 0.000 0.000
Cu 0.750 0.250 0.500
F 0.500 0.500 0.000
F 0.250 0.750 0.500

The value obtained for the calculated total energy is -6.944 eV per atom. The value obtained for the total magnetization is 0.00 μB per cell. For the formation energy from raw total energies, the calculation gives 0.772 eV per atom. For the density, the calculation gives 13.651 g cm⁻³. Its symmetry is No. 122.

=====

Entry 4:
Here is an optimized crystal structure of SrTa2Tc from the Alexandria database. Energies are from GGA-PBE.

a b c (Å): 5.960 5.960 5.960
angles (deg): 149.24 127.43 62.15
Atoms (fractional coordinates):
Sr 0.250 0.750 0.500
Ta 0.956 0.956 0.000
Ta 0.544 0.544 0.000
Tc 0.750 0.250 0.500

The value obtained for the calculated total energy is -8.323 eV per atom. The energy of formation is 0.615 eV/atom. The value obtained for the total magnetization is 0.00 μB per cell. For the density, the calculation gives 10.674 g cm⁻³. Its symmetry is No. 71.

=====

Entry 5:
Here is an optimized crystal structure of Pm16Ho6Er7 from the Alexandria database. Energies are from GGA-PBE.

a b c (Å): 11.232 11.232 11.232
angles (deg): 60.00 60.00 60.00
Atoms (fractional coordinates):
Pm 0.875 0.875 0.374
Pm 0.875 0.875 0.875
Pm 0.875 0.374 0.875
Pm 0.374 0.875 0.875
Pm 0.125 0.125 0.125
Pm 0.125 0.125 0.626
Pm 0.125 0.626 0.125
Pm 0.626 0.125 0.125
Pm 0.649 0.649 0.052
Pm 0.649 0.649 0.649
Pm 0.649 0.052 0.649
Pm 0.052 0.649 0.649
Pm 0.351 0.351 0.351
Pm 0.351 0.351 0.948
Pm 0.351 0.948 0.351
Pm 0.948 0.351 0.351
Ho 0.266 0.734 0.266
Ho 0.734 0.266 0.734
Ho 0.734 0.266 0.266
Ho 0.266 0.734 0.734
Ho 0.734 0.734 0.266
Ho 0.266 0.266 0.734
Er 0.000 0.000 0.000
Er 0.500 0.000 0.500
Er 0.000 0.500 0.000
Er 0.000 0.500 0.500
Er 0.500 0.000 0.000
Er 0.000 0.000 0.500
Er 0.500 0.500 0.000

The value obtained for the calculated total energy is -4.459 eV per atom. The energy of formation is 0.211 eV/atom. The value obtained for the total magnetization is 0.00 μB per cell. For the density, the calculation gives 7.426 g cm⁻³. Its symmetry is No. 225.

=====

Entry 6:
Here is an optimized crystal structure of Rb2SBr4 from the Alexandria database. Energies are from GGA-PBE.

a b c (Å): 7.724 7.724 7.195
angles (deg): 122.46 122.46 90.00
Atoms (fractional coordinates):
Rb 0.750 0.250 0.500
Rb 0.250 0.750 0.500
S 0.500 0.500 0.000
Br 0.732 0.268 0.000
Br 0.268 0.732 0.000
Br 0.732 0.732 0.000
Br 0.268 0.268 0.000

The value obtained for the calculated total energy is -2.793 eV per atom. The value obtained for the total magnetization is 0.00 μB per cell. For the formation energy from raw total energies, the calculation gives -0.971 eV per atom. For the density, the calculation gives 3.106 g cm⁻³. Its symmetry is No. 139.

=====

Entry 7:
Here is an optimized crystal structure of Sc2CoNi from the Alexandria database. Energies are from GGA-PBE.

a b c (Å): 5.315 5.315 5.315
angles (deg): 141.42 137.26 58.92
Atoms (fractional coordinates):
Co 0.499 0.499 0.000
Ni 0.254 0.754 0.500
Sc 0.003 0.003 0.000
Sc 0.743 0.243 0.500

The value obtained for the calculated total energy is -6.626 eV per atom. The energy of formation is -0.238 eV/atom. The value obtained for the total magnetization is 0.00 μB per cell. For the density, the calculation gives 5.474 g cm⁻³. Its symmetry is No. 44.

=====

Entry 8:
Here is an optimized crystal structure of La2PuSb3Rh4 from the Alexandria database. Energies are from GGA-PBE.

a b c (Å): 4.504 4.504 11.140
angles (deg): 90.00 90.00 90.00
Atoms (fractional coordinates):
La 0.500 0.000 0.233
La 0.000 0.500 0.767
Pu 0.500 0.500 0.500
Sb 0.000 0.000 0.500
Sb 0.500 0.000 0.873
Sb 0.000 0.500 0.127
Rh 0.500 0.500 0.000
Rh 0.000 0.000 0.000
Rh 0.500 0.000 0.641
Rh 0.000 0.500 0.359

The value obtained for the calculated total energy is -7.421 eV per atom. The value obtained for the total magnetization is 5.68 μB per cell. For the formation energy from raw total energies, the calculation gives -0.825 eV per atom. For the density, the calculation gives 9.543 g cm⁻³. Its symmetry is No. 115.

=====

> Which value of density does entry 2 give?

6.012 g cm⁻³

=====

> Look up the total magnetization of the seventh one.

0.00 μB per cell

=====

Repeat the second record exactly.
Here is an optimized crystal structure of Pm7NdY3 from the Alexandria database. Energies are from GGA-PBE.

a b c (Å): 8.741 7.213 7.213
angles (deg): 120.00 90.00 90.00
Atoms (fractional coordinates):
Pm 0.112 0.167 0.833
Pm 0.112 0.167 0.335
Pm 0.124 0.667 0.333
Pm 0.454 0.832 0.168
Pm 0.454 0.335 0.168
Pm 0.454 0.832 0.665
Pm 0.112 0.665 0.833
Nd 0.442 0.333 0.667
Y 0.784 0.500 0.500
Y 0.784 0.500 0.000
Y 0.784 0.000 0.500

The value obtained for the calculated total energy is -5.034 eV per atom. The energy of formation is 0.185 eV/atom. The value obtained for the total magnetization is 0.00 μB per cell. For the density, the calculation gives 6.012 g cm⁻³. Its symmetry is No. 156.